Record 1
The following is a DFT calculation (PBE-GGA) of a relaxed structure of TbNdEr3Sc.

The structure in CIF format:
```
data_TbNdEr3Sc
_chemical_formula_sum 'Tb2 Nd2 Er6 Sc2'
_cell_length_a 7.8268
_cell_length_b 7.8268
_cell_length_c 9.9311
_cell_angle_alpha 90.00
_cell_angle_beta 90.00
_cell_angle_gamma 143.03
_symmetry_space_group_name_H-M 'P 1'
_symmetry_Int_Tables_number 1
_symmetry_space_group_name_Hall 'P 1'
loop_
_atom_site_label
_atom_site_type_symbol
_atom_site_fract_x
_atom_site_fract_y
_atom_site_fract_z
_atom_site_occupancy
Tb1 Tb 0.0000 0.0000 0.0000 1
Tb2 Tb 0.0000 0.0000 0.5000 1
Nd1 Nd 0.4977 0.5023 0.7500 1
Nd2 Nd 0.5023 0.4977 0.2500 1
Er1 Er 0.1704 0.8296 0.7500 1
Er2 Er 0.3315 0.6685 0.0003 1
Er3 Er 0.3315 0.6685 0.4997 1
Er4 Er 0.6685 0.3315 0.9997 1
Er5 Er 0.6685 0.3315 0.5003 1
Er6 Er 0.8296 0.1704 0.2500 1
Sc1 Sc 0.1687 0.8313 0.2500 1
Sc2 Sc 0.8313 0.1687 0.7500 1
```

Space-group type   Cmcm (63)
Energy of formation from the pure elements   39.5 meV/atom

=====

Record 2
The following is a DFT calculation (PBE-GGA) of a relaxed structure of CuTe2IO.

The structure in CIF format:
```
data_CuTe2IO
_chemical_formula_sum 'Cu1 Te2 I1 O1'
_cell_length_a 5.1050
_cell_length_b 5.1050
_cell_length_c 5.1601
_cell_angle_alpha 90.00
_cell_angle_beta 90.00
_cell_angle_gamma 90.00
_symmetry_space_group_name_H-M 'P 1'
_symmetry_Int_Tables_number 1
_symmetry_space_group_name_Hall 'P 1'
loop_
_atom_site_label
_atom_site_type_symbol
_atom_site_fract_x
_atom_site_fract_y
_atom_site_fract_z
_atom_site_occupancy
Cu1 Cu 0.0000 0.0000 0.0000 1
Te1 Te 0.0000 0.5000 0.0000 1
Te2 Te 0.5000 0.0000 0.0000 1
I1 I 0.0000 0.0000 0.5000 1
O1 O 0.5000 0.5000 0.5000 1
```

Formation energy (no corrections)   0.90 eV/atom
Space-group type   P4/mmm (123)
Energy relative to the lowest polymorph listed for this composition   573 meV per atom

=====

Record 3
The following is a DFT calculation (PBE-GGA) of a relaxed structure of CuSiSO.

The structure in CIF format:
```
data_CuSiSO
_chemical_formula_sum 'Cu2 Si2 S2 O2'
_cell_length_a 4.7829
_cell_length_b 5.4389
_cell_length_c 5.7155
_cell_angle_alpha 64.26
_cell_angle_beta 70.51
_cell_angle_gamma 72.73
_symmetry_space_group_name_H-M 'P 1'
_symmetry_Int_Tables_number 1
_symmetry_space_group_name_Hall 'P 1'
loop_
_atom_site_label
_atom_site_type_symbol
_atom_site_fract_x
_atom_site_fract_y
_atom_site_fract_z
_atom_site_occupancy
Cu1 Cu 0.0000 0.0000 0.0000 1
Cu2 Cu 0.3897 0.6181 0.0015 1
Si1 Si 0.3978 0.0335 0.6139 1
Si2 Si 0.8462 0.4163 0.5429 1
S1 S 0.6117 0.8096 0.3149 1
S2 S 0.8794 0.4610 0.8795 1
O1 O 0.2009 0.3131 0.3894 1
O2 O 0.6662 0.1770 0.5978 1
```

Formation energy (no corrections)   -1.06 eV/atom
Space-group type   P1 (1)
Energy relative to the lowest polymorph listed for this composition   39 meV per atom

=====

- Number 1 is which compound?
  TbNdEr3Sc